A plane-wave DFT calculation with PBE was carried out for a relaxed structure of SrBe2Si2.

Values from the calculation:
Density of states at the Fermi level   1.1 states/eV/cell
Space group   I4/mmm
ΔE_f (raw)   -0.191 eV/atom
Volume   16.29 Å³/atom
Final energy   -0.15386 Ha/atom
Magnetization   0.000 μB/f.u.

abc: 5.660 5.660 5.660
angles: 137.63 137.63 61.47
Fractional coordinates of all 5 atoms:
Sr: 0.000 0.000 0.000
Be: 0.250 0.750 0.500
Be: 0.750 0.250 0.500
Si: 0.373 0.373 0.000
Si: 0.627 0.627 0.000